[1]
The following is a DFT calculation (PBEsol) of crystalline Ca5Cr3O13 at its relaxed geometry.

Cell: 9.6976 9.6976 6.8754 Å, 90.00 90.00 120.00°
Space group P6_3/m (No. 176)
Unique sites:
Ca (0.0094, 0.2263, 0.2500) [6 per cell]
Ca (0.3333, 0.6667, 0.5014) [4 per cell]
Cr (0.0333, 0.6235, 0.2500) [6 per cell]
O (0.0000, 0.0000, 0.2500) [2 per cell]
O (0.0904, 0.7424, 0.0544) [12 per cell]
O (0.1373, 0.5263, 0.2500) [6 per cell]
O (0.1631, 0.5019, 0.7500) [6 per cell]

=====

[2]
The following is a DFT calculation (PBEsol) of crystalline CaCr2O4 at its relaxed geometry.

Cell: 8.644 8.644 8.644 Å, 90.00 90.00 90.00°
Space group Fd-3m (No. 227, origin choice 2)
Unique sites:
Ca (0.125, 0.125, 0.125) [8 per cell]
Cr (0.000, 0.000, 0.500) [16 per cell]
O (0.020, 0.020, 0.730) [32 per cell]

E above lowest polymorph ... 0.062 eV/atom

=====

[3]
The following is a DFT calculation (PBEsol) of crystalline CaCrP2O7 at its relaxed geometry.

Cell: 6.078 6.464 7.313 Å, 81.62 88.04 68.48°
Space group P-1 (No. 2)
Unique sites:
Ca (0.208, 0.284, 0.362) [2 per cell]
Cr (0.227, 0.879, 0.832) [2 per cell]
P (0.264, 0.779, 0.383) [2 per cell]
P (0.335, 0.344, 0.881) [2 per cell]
O (0.101, 0.999, 0.270) [2 per cell]
O (0.136, 0.625, 0.461) [2 per cell]
O (0.159, 0.588, 0.860) [2 per cell]
O (0.243, 0.186, 0.802) [2 per cell]
O (0.398, 0.841, 0.525) [2 per cell]
O (0.433, 0.261, 0.080) [2 per cell]
O (0.443, 0.638, 0.241) [2 per cell]

=====

[4]
The following is a DFT calculation (PBEsol) of crystalline Ca9CrP7O28 at its relaxed geometry.

Cell: 10.2955 10.2955 36.9321 Å, 90.00 90.00 120.00°
Space group R3c (No. 161, hexagonal axes)
Unique sites:
Ca (0.0437, 0.5069, 0.0000) [18 per cell]
Ca (0.1858, 0.3918, 0.7397) [18 per cell]
Ca (0.1881, 0.3898, 0.6323) [18 per cell]
Cr (0.0000, 0.0000, 0.3974) [6 per cell]
P (0.0000, 0.0000, 0.1282) [6 per cell]
P (0.0089, 0.4856, 0.2008) [18 per cell]
P (0.1573, 0.3499, 0.4287) [18 per cell]
O (0.0000, 0.0000, 0.0862) [6 per cell]
O (0.0331, 0.2521, 0.0130) [18 per cell]
O (0.0438, 0.5176, 0.2412) [18 per cell]
O (0.0573, 0.3875, 0.4530) [18 per cell]
O (0.0609, 0.3763, 0.1880) [18 per cell]
O (0.0823, 0.1714, 0.4320) [18 per cell]
O (0.0974, 0.4152, 0.9432) [18 per cell]
O (0.1462, 0.3950, 0.3900) [18 per cell]
O (0.1483, 0.0106, 0.6411) [18 per cell]
O (0.1673, 0.0737, 0.8615) [18 per cell]

=====

[5]
The following is a DFT calculation (PBEsol) of crystalline CaPrCr2O6 at its relaxed geometry.

Cell: 7.560 5.383 5.335 Å, 90.00 90.00 90.00°
Space group Pmn2_1 (No. 31)
Unique sites:
Ca (0.000, 0.209, 0.000) [2 per cell]
Pr (0.000, 0.714, 0.484) [2 per cell]
Cr (0.250, 0.249, 0.491) [4 per cell]
O (0.000, 0.264, 0.568) [2 per cell]
O (0.000, 0.767, 0.922) [2 per cell]
O (0.209, 0.462, 0.204) [4 per cell]
O (0.213, 0.965, 0.276) [4 per cell]

=====

[6]
The following is a DFT calculation (PBEsol) of crystalline RbCa2CrO at its relaxed geometry.

Cell: 5.705 5.705 6.128 Å, 90.00 90.00 90.00°
Space group P4/mmm (No. 123)
Unique sites:
Rb (0.000, 0.000, 0.000) [1 per cell]
Ca (0.000, 0.500, 0.500) [2 per cell]
Cr (0.000, 0.000, 0.500) [1 per cell]
O (0.500, 0.500, 0.000) [1 per cell]

=====

[7]
The following is a DFT calculation (PBEsol) of crystalline Ca2CrSbO6 at its relaxed geometry.

Cell: 5.363 7.742 5.516 Å, 90.00 90.02 90.00°
Space group P2_1/m (No. 11)
Unique sites:
Ca (0.007, 0.250, 0.042) [2 per cell]
Ca (0.484, 0.250, 0.567) [2 per cell]
Cr (0.500, 0.000, 0.000) [2 per cell]
Sb (0.000, 0.000, 0.500) [2 per cell]
O (0.097, 0.750, 0.529) [2 per cell]
O (0.199, 0.049, 0.795) [4 per cell]
O (0.298, 0.048, 0.299) [4 per cell]
O (0.413, 0.750, 0.026) [2 per cell]

=====

[8]
The following is a DFT calculation (PBEsol) of crystalline Ca2CrSbO6 at its relaxed geometry.

Cell: 5.389 5.512 9.353 Å, 90.00 124.85 90.00°
Space group P2_1/c (No. 14)
Unique sites:
Ca (0.236, 0.051, 0.249) [4 per cell]
Cr (0.000, 0.000, 0.500) [2 per cell]
Sb (0.500, 0.000, 0.000) [2 per cell]
O (0.154, 0.206, 0.953) [4 per cell]
O (0.248, 0.705, 0.951) [4 per cell]
O (0.341, 0.028, 0.749) [4 per cell]

=====

Result set for raw formation energy: -2.50, -2.23, -2.36, -2.84, -2.61, 0.97, -2.29, -2.32 eV/atom, one per record in the order listed.
Result set for electronic total energy: -7.72, -8.46, -7.87, -7.66, -8.53, -3.19, -7.35, -7.38 eV per atom, one per record in the order listed.